Entry 1:
Entry from Alexandria via LeMat-Bulk: SmGdCoAu after structural relaxation (PBE).

CIF file:
```
data_SmGdCoAu
_chemical_formula_sum 'Sm4 Gd4 Co4 Au4'
_space_group_name_H-M_alt 'F -4 3 m'
_space_group_IT_number 216
_space_group_name_Hall 'F -4 2 3'
_cell_length_a 7.0920
_cell_length_b 7.0920
_cell_length_c 7.0920
_cell_angle_alpha 90.00
_cell_angle_beta 90.00
_cell_angle_gamma 90.00
loop_
_atom_site_label
_atom_site_type_symbol
_atom_site_fract_x
_atom_site_fract_y
_atom_site_fract_z
_atom_site_occupancy
Sm1 Sm 0.0000 0.0000 0.0000 1
Gd1 Gd 0.0000 0.0000 0.5000 1
Co1 Co 0.2500 0.2500 0.7500 1
Au1 Au 0.2500 0.2500 0.2500 1
```

***

Entry 2:
Entry from Alexandria via LeMat-Bulk: TbGdCoAu after structural relaxation (PBE).

CIF file:
```
data_TbGdCoAu
_chemical_formula_sum 'Tb4 Gd4 Co4 Au4'
_space_group_name_H-M_alt 'F -4 3 m'
_space_group_IT_number 216
_space_group_name_Hall 'F -4 2 3'
_cell_length_a 7.0296
_cell_length_b 7.0296
_cell_length_c 7.0296
_cell_angle_alpha 90.00
_cell_angle_beta 90.00
_cell_angle_gamma 90.00
loop_
_atom_site_label
_atom_site_type_symbol
_atom_site_fract_x
_atom_site_fract_y
_atom_site_fract_z
_atom_site_occupancy
Tb1 Tb 0.0000 0.0000 0.0000 1
Gd1 Gd 0.0000 0.0000 0.5000 1
Co1 Co 0.2500 0.2500 0.2500 1
Au1 Au 0.2500 0.2500 0.7500 1
```

***

Entry 3:
Entry from Alexandria via LeMat-Bulk: GdYCoAu after structural relaxation (PBE).

CIF file:
```
data_GdYCoAu
_chemical_formula_sum 'Gd4 Y4 Co4 Au4'
_space_group_name_H-M_alt 'F -4 3 m'
_space_group_IT_number 216
_space_group_name_Hall 'F -4 2 3'
_cell_length_a 7.0269
_cell_length_b 7.0269
_cell_length_c 7.0269
_cell_angle_alpha 90.00
_cell_angle_beta 90.00
_cell_angle_gamma 90.00
loop_
_atom_site_label
_atom_site_type_symbol
_atom_site_fract_x
_atom_site_fract_y
_atom_site_fract_z
_atom_site_occupancy
Gd1 Gd 0.0000 0.0000 0.0000 1
Y1 Y 0.0000 0.0000 0.5000 1
Co1 Co 0.2500 0.2500 0.2500 1
Au1 Au 0.2500 0.2500 0.7500 1
```

***

Entry 4:
Entry from Alexandria via LeMat-Bulk: CoGe2Au2 after structural relaxation (PBE).

CIF file:
```
data_CoGe2Au2
_chemical_formula_sum 'Co2 Ge4 Au4'
_space_group_name_H-M_alt 'P 4/m b m'
_space_group_IT_number 127
_space_group_name_Hall '-P 4 2ab'
_cell_length_a 6.1480
_cell_length_b 6.1480
_cell_length_c 4.5720
_cell_angle_alpha 90.00
_cell_angle_beta 90.00
_cell_angle_gamma 90.00
loop_
_atom_site_label
_atom_site_type_symbol
_atom_site_fract_x
_atom_site_fract_y
_atom_site_fract_z
_atom_site_occupancy
Co1 Co 0.0000 0.0000 0.0000 1
Ge1 Ge 0.1394 0.3606 0.0000 1
Au1 Au 0.2294 0.7294 0.5000 1
```

***

Entry 5:
Entry from Alexandria via LeMat-Bulk: CoGeAu2 after structural relaxation (PBE).

CIF file:
```
data_CoGeAu2
_chemical_formula_sum 'Co4 Ge4 Au8'
_space_group_name_H-M_alt 'I -4 2 d'
_space_group_IT_number 122
_space_group_name_Hall 'I -4 2bw'
_cell_length_a 3.8151
_cell_length_b 3.8151
_cell_length_c 18.9985
_cell_angle_alpha 90.00
_cell_angle_beta 90.00
_cell_angle_gamma 90.00
loop_
_atom_site_label
_atom_site_type_symbol
_atom_site_fract_x
_atom_site_fract_y
_atom_site_fract_z
_atom_site_occupancy
Co1 Co 0.0000 0.0000 0.0000 1
Ge1 Ge 0.0000 0.0000 0.5000 1
Au1 Au 0.2467 0.2500 0.1250 1
```

***

Entry 6:
Entry from Alexandria via LeMat-Bulk: Co2GeAu2 after structural relaxation (PBE).

## Properties
* energy above the most stable polymorph in this dataset: 0 kJ/mol of formula units

CIF file:
```
data_Co2GeAu2
_chemical_formula_sum 'Co4 Ge2 Au4'
_space_group_name_H-M_alt 'P 4/m b m'
_space_group_IT_number 127
_space_group_name_Hall '-P 4 2ab'
_cell_length_a 5.9621
_cell_length_b 5.9621
_cell_length_c 4.2138
_cell_angle_alpha 90.00
_cell_angle_beta 90.00
_cell_angle_gamma 90.00
loop_
_atom_site_label
_atom_site_type_symbol
_atom_site_fract_x
_atom_site_fract_y
_atom_site_fract_z
_atom_site_occupancy
Co1 Co 0.1355 0.3645 0.0000 1
Ge1 Ge 0.0000 0.0000 0.0000 1
Au1 Au 0.1696 0.6696 0.5000 1
```

***

The records above yield volume values of 22.29 21.71 21.69 17.28 17.28 14.98 Å³/atom, respectively.
The records above yield D(E_F) values of 3.5 3.5 3.5 1.9 5.4 3.6 states/eV/f.u., respectively.
The records above yield calculated formation energy values of -0.38 -0.41 -0.42 0.19 0.32 0.11 eV/atom, respectively.